Record 1
First-principles (PBE) data for a geometry-optimized ZnPt2Se structure, as listed in the Alexandria database.

Values from the calculation:
space-group type: No. 8
spin magnetization: 0.00 μB/f.u.
theoretical density: 13.3 g/cm³
energy relative to the elements, uncorrected: -0.11 eV/atom

Lattice parameters (Å, degrees): 10.2429 2.9971 4.3619 90.00 91.86 90.00
Atoms (fractional coordinates):
Zn 0.0000 0.0000 0.0000
Zn 0.5000 0.5000 0.0000
Pt 0.2166 0.5000 0.2021
Pt 0.4687 0.0000 0.4906
Pt 0.7166 0.0000 0.2021
Pt 0.9687 0.5000 0.4906
Se 0.2474 0.0000 0.6874
Se 0.7474 0.5000 0.6874



Record 2
First-principles (PBE) data for a geometry-optimized ZnPt2Se structure, as listed in the Alexandria database.

Values from the calculation:
space-group type: No. 119
spin magnetization: 0.00 μB/f.u.
theoretical density: 13.8 g/cm³
energy relative to the elements, uncorrected: -0.04 eV/atom

Lattice parameters (Å, degrees): 3.8311 3.8311 8.7890 90.00 90.00 90.00
Atoms (fractional coordinates):
Zn 0.0000 0.0000 0.0000
Zn 0.5000 0.5000 0.5000
Pt 0.0000 0.0000 0.5000
Pt 0.0000 0.5000 0.7500
Pt 0.5000 0.0000 0.2500
Pt 0.5000 0.5000 0.0000
Se 0.0000 0.5000 0.2500
Se 0.5000 0.0000 0.7500



Record 3
First-principles (PBE) data for a geometry-optimized Zn2PtSe structure, as listed in the Alexandria database.

Values from the calculation:
space-group type: No. 122
spin magnetization: 0.00 μB/f.u.
theoretical density: 7.1 g/cm³
energy relative to the elements, uncorrected: -0.13 eV/atom

Lattice parameters (Å, degrees): 5.7680 5.7680 11.3165 90.00 90.00 90.00
Atoms (fractional coordinates):
Zn 0.2486 0.2500 0.1250
Zn 0.2500 0.7486 0.3750
Zn 0.2500 0.7514 0.8750
Zn 0.2514 0.2500 0.6250
Zn 0.7486 0.7500 0.6250
Zn 0.7500 0.2486 0.8750
Zn 0.7500 0.2514 0.3750
Zn 0.7514 0.7500 0.1250
Pt 0.0000 0.0000 0.5000
Pt 0.0000 0.5000 0.7500
Pt 0.5000 0.0000 0.2500
Pt 0.5000 0.5000 0.0000
Se 0.0000 0.0000 0.0000
Se 0.0000 0.5000 0.2500
Se 0.5000 0.0000 0.7500
Se 0.5000 0.5000 0.5000



Record 4
First-principles (PBE) data for a geometry-optimized Zn2PtSe structure, as listed in the Alexandria database.

Values from the calculation:
space-group type: No. 119
spin magnetization: 0.00 μB/f.u.
theoretical density: 10.2 g/cm³
energy relative to the elements, uncorrected: -0.07 eV/atom

Lattice parameters (Å, degrees): 3.8899 3.8899 8.6769 90.00 90.00 90.00
Atoms (fractional coordinates):
Zn 0.0000 0.0000 0.0000
Zn 0.0000 0.5000 0.2500
Zn 0.5000 0.0000 0.7500
Zn 0.5000 0.5000 0.5000
Pt 0.0000 0.5000 0.7500
Pt 0.5000 0.0000 0.2500
Se 0.0000 0.0000 0.5000
Se 0.5000 0.5000 0.0000